Entry 1:
Material: YMnBi2N
Method: DFT, GGA-PBE
State: relaxed

```
YMnBi2N
1.0
-4.3945 -2.8291 -3.0759
2.6776 -2.7225 -1.3214
-1.1472 -3.4753 4.8355
Mn Y N Bi
1 1 1 2
Direct
0.5000 0.5000 0.5000
0.0000 0.0000 0.0000
0.0000 0.5000 0.0000
0.5000 0.0000 0.0000
0.0000 0.0000 0.5000
```

Computed properties:
Formation energy from raw total energies: 1.303 eV per atom
E_tot: -5.041 eV per atom


Entry 2:
Material: SrErBS4
Method: DFT, GGA-PBE
State: relaxed

```
SrErBS4
1.0
6.1443 0.0000 0.0146
0.0000 6.2968 0.0000
-2.3898 0.0000 7.5872
Er Sr B S
2 2 2 8
Direct
0.2295 0.2500 0.5532
0.7705 0.7500 0.4468
0.2788 0.2500 0.0708
0.7212 0.7500 0.9292
0.2184 0.7500 0.3134
0.7816 0.2500 0.6866
0.6035 0.2500 0.4393
0.0161 0.5090 0.2680
0.9839 0.4910 0.7320
0.3965 0.7500 0.5607
0.0161 0.9910 0.2680
0.9839 0.0090 0.7320
0.4070 0.7500 0.1530
0.5930 0.2500 0.8470
```

Computed properties:
Formation energy from raw total energies: -1.503 eV per atom
E_tot: -5.707 eV per atom


Which of these has the lowest formation energy from raw total energies?
SrErBS4